[1]
PBE AsHPd2, optimized geometry; raw total energy = -4.737 eV per atom; offset from the most stable computed form = 0.03 eV per formula unit; space-group type = I-42d
1.0
-1.338 4.803 -0.536
-3.318 -0.509 3.726
0.874 3.376 4.614
As Pd H
2 4 2
direct
0.750 0.250 0.500
0.000 0.000 0.000
0.375 0.479 0.750
0.875 0.771 0.750
0.521 0.125 0.250
0.229 0.625 0.250
0.250 0.750 0.500
0.500 0.500 0.000

***

[2]
PBE Ca2RuCl, optimized geometry; raw total energy = -3.995 eV per atom; offset from the most stable computed form = 1.71 eV per formula unit; space-group type = I-42d; raw formation energy = -20.6 kJ per mole of atoms
1.0
7.392 0.000 0.000
0.000 7.392 0.000
3.696 3.696 3.906
Ca Cl Ru
4 2 2
direct
0.126 0.625 0.250
0.375 0.376 0.750
0.624 0.125 0.250
0.875 0.874 0.750
0.250 0.750 0.500
0.500 0.500 0.000
0.750 0.250 0.500
0.000 0.000 0.000